Record 1
Density functional theory data (PBE-GGA) for NaLiPS2 after structural relaxation.

Cell lengths 6.119, 4.835, 6.871 Å; angles 110.60, 90.00, 90.00 degrees
Positions (direct):
1 Na 0.260 0.750 0.500
2 Na 0.740 0.250 0.500
3 Li 0.500 0.750 0.000
4 Li 0.500 0.250 0.000
5 P 0.000 0.000 0.000
6 P 0.000 0.500 0.000
7 S 0.732 0.878 0.756
8 S 0.732 0.622 0.244
9 S 0.268 0.378 0.756
10 S 0.268 0.122 0.244

Its space group is Cmme, No. 67. The value obtained for the uncorrected formation energy is -46 kJ/mol of atoms. The calculation puts the energy above the most stable polymorph in this dataset at 0.0 kJ per mole of atoms. The electronic total energy comes out at -3.855 eV/atom.

***

Record 2
Density functional theory data (PBE-GGA) for GePPd after structural relaxation.

Cell lengths 3.233, 6.085, 6.356 Å; angles 107.03, 104.56, 105.34 degrees
Positions (direct):
1 Ge 0.398 0.644 0.480
2 Ge 0.187 0.711 0.977
3 P 0.054 0.218 0.209
4 P 0.375 0.125 0.942
5 Pd 0.403 0.389 0.729
6 Pd 0.959 0.895 0.352

Its space group is P1, No. 1. As for the energy of formation: -0.557 eV/f.u. The calculation puts the energy above the most stable polymorph in this dataset at 2.9 kJ per mole of atoms. The electronic total energy comes out at -5.259 eV/atom.

***

Record 3
Density functional theory data (PBE-GGA) for LiTaTlRh2 after structural relaxation.

Cell lengths 4.927, 4.149, 4.927 Å; angles 90.00, 90.00, 90.00 degrees
Positions (direct):
1 Tl 0.000 0.000 0.000
2 Li 0.000 0.500 0.000
3 Rh 0.000 0.000 0.500
4 Rh 0.500 0.000 0.000
5 Ta 0.500 0.500 0.500

Its space group is P4/mmm, No. 123. As for the energy of formation: 6.586 eV/f.u. The electronic total energy comes out at -4.850 eV/atom.

***

Record 4
Density functional theory data (PBE-GGA) for SrPr14Nd after structural relaxation.

Cell lengths 7.487, 7.487, 10.531 Å; angles 90.00, 90.00, 90.00 degrees
Positions (direct):
1 Sr 0.875 0.875 0.500
2 Pr 0.875 0.875 0.000
3 Pr 0.375 0.375 0.000
4 Pr 0.875 0.375 0.500
5 Pr 0.875 0.375 0.000
6 Pr 0.375 0.875 0.500
7 Pr 0.375 0.875 0.000
8 Pr 0.620 0.130 0.246
9 Pr 0.620 0.130 0.754
10 Pr 0.130 0.620 0.246
11 Pr 0.130 0.620 0.754
12 Pr 0.620 0.620 0.246
13 Pr 0.620 0.620 0.754
14 Pr 0.130 0.130 0.246
15 Pr 0.130 0.130 0.754
16 Nd 0.375 0.375 0.500

Its space group is P4/mmm, No. 123. As for the energy of formation: 0.588 eV/f.u. The electronic total energy comes out at -4.548 eV/atom.

***

Record 5
Density functional theory data (PBE-GGA) for ZnBr after structural relaxation.

Cell lengths 10.432, 10.432, 5.147 Å; angles 90.00, 90.00, 90.00 degrees
Positions (direct):
1 Zn 0.402 0.190 0.000
2 Zn 0.598 0.810 0.000
3 Zn 0.810 0.402 0.000
4 Zn 0.190 0.598 0.000
5 Zn 0.902 0.690 0.500
6 Zn 0.098 0.310 0.500
7 Zn 0.310 0.902 0.500
8 Zn 0.690 0.098 0.500
9 Br 0.292 0.909 0.000
10 Br 0.708 0.091 0.000
11 Br 0.091 0.292 0.000
12 Br 0.909 0.708 0.000
13 Br 0.792 0.409 0.500
14 Br 0.208 0.591 0.500
15 Br 0.591 0.792 0.500
16 Br 0.409 0.208 0.500

Its space group is I4/m, No. 87. The value obtained for the uncorrected formation energy is -16 kJ/mol of atoms. The electronic total energy comes out at -1.639 eV/atom.

***

Record 6
Density functional theory data (PBE-GGA) for ZrCuIr4 after structural relaxation.

Cell lengths 5.186, 5.186, 5.186 Å; angles 60.00, 60.00, 60.00 degrees
Positions (direct):
1 Zr 0.750 0.750 0.750
2 Cu 0.000 0.000 0.000
3 Ir 0.876 0.375 0.375
4 Ir 0.375 0.375 0.876
5 Ir 0.375 0.876 0.375
6 Ir 0.375 0.375 0.375

Its space group is F-43m, No. 216. As for the energy of formation: -1.254 eV/f.u. The electronic total energy comes out at -8.224 eV/atom.

***

Record 7
Density functional theory data (PBE-GGA) for NaInRe2Sb after structural relaxation.

Cell lengths 4.812, 4.893, 4.812 Å; angles 90.00, 90.00, 90.00 degrees
Site moments in Bohr magnetons follow the coordinates.
Positions (direct):
1 Re 0.000 0.000 0.500  1.79
2 Re 0.500 0.000 0.000  1.92
3 In 0.500 0.500 0.500  -0.06
4 Na 0.000 0.000 0.000  0.04
5 Sb 0.000 0.500 0.000  -0.07

Its space group is P4/mmm, No. 123. The value obtained for the uncorrected formation energy is 238 kJ/mol of atoms. The electronic total energy comes out at -4.153 eV/atom.

***

Record 8
Density functional theory data (PBE-GGA) for HfPtAu after structural relaxation.

Cell lengths 3.508, 3.508, 5.045 Å; angles 110.35, 110.35, 90.00 degrees
Positions (direct):
1 Au 0.618 0.618 0.236
2 Hf 0.291 0.291 0.581
3 Pt 0.941 0.941 0.882

Its space group is I4mm, No. 107. As for the energy of formation: -2.764 eV/f.u. The calculation puts the energy above the most stable polymorph in this dataset at 0.0 kJ per mole of atoms. The electronic total energy comes out at -7.345 eV/atom.

***

Record 9
Density functional theory data (PBE-GGA) for TaC5 after structural relaxation.

Cell lengths 4.026, 4.026, 4.176 Å; angles 90.00, 90.00, 120.00 degrees
Positions (direct):
1 Ta 0.000 0.000 0.500
2 C 0.787 0.000 0.000
3 C 0.213 0.213 0.000
4 C 0.000 0.787 0.000
5 C 0.667 0.333 0.500
6 C 0.333 0.667 0.500

Its space group is P-62m, No. 189. As for the energy of formation: 14.474 eV/f.u. The calculation puts the energy above the most stable polymorph in this dataset at 141.3 kJ per mole of atoms. The electronic total energy comes out at -7.250 eV/atom.

***

Record 10
Density functional theory data (PBE-GGA) for Cu2AgPtI after structural relaxation.

Cell lengths 4.789, 5.217, 4.789 Å; angles 90.00, 90.00, 90.00 degrees
Positions (direct):
1 I 0.500 0.500 0.500
2 Cu 0.000 0.000 0.500
3 Cu 0.500 0.000 0.000
4 Ag 0.000 0.500 0.000
5 Pt 0.000 0.000 0.000

Its space group is P4/mmm, No. 123. The value obtained for the uncorrected formation energy is 60 kJ/mol of atoms. The electronic total energy comes out at -3.100 eV/atom.

***

Record 11
Density functional theory data (PBE-GGA) for TaP2S2 after structural relaxation.

Cell lengths 4.672, 4.672, 5.112 Å; angles 90.00, 90.00, 90.00 degrees
Site moments in Bohr magnetons follow the coordinates.
Positions (direct):
1 P 0.500 0.500 0.500  0.70
2 P 0.000 0.000 0.500  -0.20
3 S 0.000 0.500 0.000  -0.05
4 S 0.500 0.000 0.000  -0.05
5 Ta 0.000 0.000 0.000  0.16

Its space group is P4/mmm, No. 123. The value obtained for the uncorrected formation energy is 44 kJ/mol of atoms. The calculation puts the energy above the most stable polymorph in this dataset at 18.8 kJ per mole of atoms. The electronic total energy comes out at -5.724 eV/atom.

***

Record 12
Density functional theory data (PBE-GGA) for Mg2CoTe after structural relaxation.

Cell lengths 3.676, 3.672, 5.839 Å; angles 90.00, 90.00, 90.00 degrees
Site moments in Bohr magnetons follow the coordinates.
Positions (direct):
1 Co 0.500 0.500 0.775  1.26
2 Mg 0.000 0.000 0.973  -0.02
3 Mg 0.500 0.500 0.247  -0.01
4 Te 0.000 0.000 0.505  0.03

Its space group is P4mm, No. 99. The value obtained for the uncorrected formation energy is 9 kJ/mol of atoms. The electronic total energy comes out at -3.265 eV/atom.

***

Record 13
Density functional theory data (PBE-GGA) for LaTb3Pm3 after structural relaxation.

Cell lengths 8.991, 8.991, 8.991 Å; angles 58.35, 58.35, 58.35 degrees
Positions (direct):
1 La 0.347 0.347 0.347
2 La 0.653 0.653 0.653
3 Tb 0.714 0.172 0.937
4 Tb 0.172 0.937 0.714
5 Tb 0.937 0.714 0.172
6 Tb 0.063 0.286 0.828
7 Tb 0.828 0.063 0.286
8 Tb 0.286 0.828 0.063
9 Pm 0.723 0.568 0.068
10 Pm 0.068 0.723 0.568
11 Pm 0.568 0.068 0.723
12 Pm 0.432 0.932 0.277
13 Pm 0.932 0.277 0.432
14 Pm 0.277 0.432 0.932

Its space group is R-3, No. 148. As for the energy of formation: 1.396 eV/f.u. The calculation puts the energy above the most stable polymorph in this dataset at 0.0 kJ per mole of atoms. The electronic total energy comes out at -4.525 eV/atom.

***

Record 14
Density functional theory data (PBE-GGA) for Sc2MnIr2 after structural relaxation.

Cell lengths 6.360, 6.360, 4.255 Å; angles 90.00, 90.00, 90.00 degrees
Positions (direct):
1 Sc 0.176 0.676 0.500
2 Sc 0.676 0.824 0.500
3 Sc 0.824 0.324 0.500
4 Sc 0.324 0.176 0.500
5 Ir 0.358 0.858 0.000
6 Ir 0.858 0.642 0.000
7 Ir 0.642 0.142 0.000
8 Ir 0.142 0.358 0.000
9 Mn 0.000 0.000 0.000
10 Mn 0.500 0.500 0.000

Its space group is P4/mbm, No. 127. As for the energy of formation: -2.359 eV/f.u. The electronic total energy comes out at -8.383 eV/atom.

***

Record 15
Density functional theory data (PBE-GGA) for TlCuSb2 after structural relaxation.

Cell lengths 5.177, 5.177, 5.177 Å; angles 60.00, 60.00, 60.00 degrees
Positions (direct):
1 Sb 0.250 0.250 0.250
2 Sb 0.750 0.750 0.750
3 Tl 0.500 0.500 0.500
4 Cu 0.000 0.000 0.000

Its space group is Fm-3m, No. 225. The value obtained for the uncorrected formation energy is 40 kJ/mol of atoms. The calculation puts the energy above the most stable polymorph in this dataset at 34.7 kJ per mole of atoms. The electronic total energy comes out at -3.261 eV/atom.

***

Record 16
Density functional theory data (PBE-GGA) for CsNdHg2 after structural relaxation.

Cell lengths 3.987, 3.987, 8.972 Å; angles 90.00, 90.00, 90.00 degrees
Positions (direct):
1 Cs 0.500 0.500 0.500
2 Nd 0.500 0.500 0.000
3 Hg 0.000 0.000 0.813
4 Hg 0.000 0.000 0.187

Its space group is P4/mmm, No. 123. As for the energy of formation: -1.050 eV/f.u. The calculation puts the energy above the most stable polymorph in this dataset at 0.0 kJ per mole of atoms. The electronic total energy comes out at -1.819 eV/atom.